(1)
# ErBiAsO | OQMD | GGA-PBE | optimized geometry
# Calculated total energy: -5.894 eV per atom
data_ErBiAsO
_chemical_formula_sum 'Er2 Bi2 As2 O2'
_space_group_name_H-M_alt 'P 4/n m m'
_space_group_IT_number 129
_cell_length_a 4.213
_cell_length_b 4.213
_cell_length_c 9.984
_cell_angle_alpha 90.00
_cell_angle_beta 90.00
_cell_angle_gamma 90.00
loop_
_space_group_symop_operation_xyz
'x,y,z'
'-x,-y,-z'
'-y+1/2,x,z'
'y+1/2,-x,-z'
'-x+1/2,-y+1/2,z'
'x+1/2,y+1/2,-z'
'y,-x+1/2,z'
'-y,x+1/2,-z'
'x+1/2,-y,-z'
'-x+1/2,y,z'
'-y,-x,-z'
'y,x,z'
'-x,y+1/2,-z'
'x,-y+1/2,z'
'y+1/2,x+1/2,-z'
'-y+1/2,-x+1/2,z'
loop_
_atom_site_label
_atom_site_type_symbol
_atom_site_fract_x
_atom_site_fract_y
_atom_site_fract_z
_atom_site_occupancy
Er1 Er 0.250 0.250 0.087 1
Bi1 Bi 0.250 0.750 0.500 1
As1 As 0.250 0.250 0.739 1
O1 O 0.250 0.750 0.000 1



(2)
# ZnBiAsF | OQMD | GGA-PBE | optimized geometry
# Calculated total energy: -3.598 eV per atom
data_ZnBiAsF
_chemical_formula_sum 'Zn2 Bi2 As2 F2'
_space_group_name_H-M_alt 'P 4/n m m'
_space_group_IT_number 129
_cell_length_a 3.936
_cell_length_b 3.936
_cell_length_c 9.633
_cell_angle_alpha 90.00
_cell_angle_beta 90.00
_cell_angle_gamma 90.00
loop_
_space_group_symop_operation_xyz
'x,y,z'
'-x,-y,-z'
'-y+1/2,x,z'
'y+1/2,-x,-z'
'-x+1/2,-y+1/2,z'
'x+1/2,y+1/2,-z'
'y,-x+1/2,z'
'-y,x+1/2,-z'
'x+1/2,-y,-z'
'-x+1/2,y,z'
'-y,-x,-z'
'y,x,z'
'-x,y+1/2,-z'
'x,-y+1/2,z'
'y+1/2,x+1/2,-z'
'-y+1/2,-x+1/2,z'
loop_
_atom_site_label
_atom_site_type_symbol
_atom_site_fract_x
_atom_site_fract_y
_atom_site_fract_z
_atom_site_occupancy
Zn1 Zn 0.250 0.750 0.000 1
Bi1 Bi 0.250 0.250 0.327 1
As1 As 0.250 0.250 0.816 1
F1 F 0.250 0.750 0.500 1



(3)
# FeBiAs2 | OQMD | GGA-PBE | optimized geometry
# Calculated total energy: -4.815 eV per atom
data_FeBiAs2
_chemical_formula_sum 'Fe4 Bi4 As8'
_space_group_name_H-M_alt 'F -4 3 m'
_space_group_IT_number 216
_space_group_name_Hall 'F -4 2 3'
_cell_length_a 6.884
_cell_length_b 6.884
_cell_length_c 6.884
_cell_angle_alpha 90.00
_cell_angle_beta 90.00
_cell_angle_gamma 90.00
loop_
_atom_site_label
_atom_site_type_symbol
_atom_site_fract_x
_atom_site_fract_y
_atom_site_fract_z
_atom_site_occupancy
Fe1 Fe 0.000 0.000 0.000 1
Bi1 Bi 0.250 0.250 0.750 1
As1 As 0.000 0.000 0.500 1
As2 As 0.250 0.250 0.250 1



(4)
# Fe2BiAs | OQMD | GGA-PBE | optimized geometry
# Calculated total energy: -6.008 eV per atom
data_Fe2BiAs
_chemical_formula_sum 'Fe8 Bi4 As4'
_space_group_name_H-M_alt 'P m -3 m'
_space_group_IT_number 221
_space_group_name_Hall '-P 4 2 3'
_cell_length_a 6.470
_cell_length_b 6.470
_cell_length_c 6.470
_cell_angle_alpha 90.00
_cell_angle_beta 90.00
_cell_angle_gamma 90.00
loop_
_atom_site_label
_atom_site_type_symbol
_atom_site_fract_x
_atom_site_fract_y
_atom_site_fract_z
_atom_site_occupancy
Fe1 Fe 0.212 0.212 0.212 1
Bi1 Bi 0.000 0.500 0.500 1
Bi2 Bi 0.500 0.500 0.500 1
As1 As 0.000 0.000 0.000 1
As2 As 0.000 0.000 0.500 1



(5)
# Fe2BiAs | OQMD | GGA-PBE | optimized geometry
# Calculated total energy: -6.008 eV per atom
data_Fe2BiAs
_chemical_formula_sum 'Fe8 Bi4 As4'
_space_group_name_H-M_alt 'P m -3 m'
_space_group_IT_number 221
_space_group_name_Hall '-P 4 2 3'
_cell_length_a 6.473
_cell_length_b 6.473
_cell_length_c 6.473
_cell_angle_alpha 90.00
_cell_angle_beta 90.00
_cell_angle_gamma 90.00
loop_
_atom_site_label
_atom_site_type_symbol
_atom_site_fract_x
_atom_site_fract_y
_atom_site_fract_z
_atom_site_occupancy
Fe1 Fe 0.212 0.212 0.212 1
Bi1 Bi 0.000 0.500 0.500 1
Bi2 Bi 0.500 0.500 0.500 1
As1 As 0.000 0.000 0.000 1
As2 As 0.000 0.000 0.500 1



(6)
# Gd3Bi2As | OQMD | GGA-PBE | optimized geometry
# Calculated total energy: -5.553 eV per atom
data_Gd3Bi2As
_chemical_formula_sum 'Gd3 Bi2 As1'
_space_group_name_H-M_alt 'P -3 m 1'
_space_group_IT_number 164
_space_group_name_Hall '-P 3 2"'
_cell_length_a 4.3558
_cell_length_b 4.3558
_cell_length_c 10.8559
_cell_angle_alpha 90.00
_cell_angle_beta 90.00
_cell_angle_gamma 120.00
loop_
_atom_site_label
_atom_site_type_symbol
_atom_site_fract_x
_atom_site_fract_y
_atom_site_fract_z
_atom_site_occupancy
Gd1 Gd 0.0000 0.0000 0.0000 1
Gd2 Gd 0.3333 0.6667 0.3523 1
Bi1 Bi 0.3333 0.6667 0.8256 1
As1 As 0.0000 0.0000 0.5000 1



(7)
# Gd3BiAs2 | OQMD | GGA-PBE | optimized geometry
# Calculated total energy: -5.868 eV per atom
data_Gd3BiAs2
_chemical_formula_sum 'Gd3 Bi1 As2'
_space_group_name_H-M_alt 'P -3 m 1'
_space_group_IT_number 164
_space_group_name_Hall '-P 3 2"'
_cell_length_a 4.2341
_cell_length_b 4.2341
_cell_length_c 10.6148
_cell_angle_alpha 90.00
_cell_angle_beta 90.00
_cell_angle_gamma 120.00
loop_
_atom_site_label
_atom_site_type_symbol
_atom_site_fract_x
_atom_site_fract_y
_atom_site_fract_z
_atom_site_occupancy
Gd1 Gd 0.0000 0.0000 0.0000 1
Gd2 Gd 0.3333 0.6667 0.3112 1
Bi1 Bi 0.0000 0.0000 0.5000 1
As1 As 0.3333 0.6667 0.8415 1



(8)
# GdBiAsO | OQMD | GGA-PBE | optimized geometry
# Calculated total energy: -5.776 eV per atom
data_GdBiAsO
_chemical_formula_sum 'Gd2 Bi2 As2 O2'
_space_group_name_H-M_alt 'P m c 21'
_space_group_IT_number 26
_space_group_name_Hall 'P 2c -2'
_cell_length_a 4.933
_cell_length_b 6.454
_cell_length_c 6.485
_cell_angle_alpha 90.00
_cell_angle_beta 90.00
_cell_angle_gamma 90.00
loop_
_atom_site_label
_atom_site_type_symbol
_atom_site_fract_x
_atom_site_fract_y
_atom_site_fract_z
_atom_site_occupancy
Gd1 Gd 0.000 0.162 0.000 1
Bi1 Bi 0.500 0.243 0.378 1
As1 As 0.500 0.315 0.828 1
O1 O 0.000 0.132 0.336 1



(9)
# GdBiAsO | OQMD | GGA-PBE | optimized geometry
# Calculated total energy: -5.854 eV per atom
data_GdBiAsO
_chemical_formula_sum 'Gd2 Bi2 As2 O2'
_space_group_name_H-M_alt 'P m c 21'
_space_group_IT_number 26
_space_group_name_Hall 'P 2c -2'
_cell_length_a 3.964
_cell_length_b 8.380
_cell_length_c 6.151
_cell_angle_alpha 90.00
_cell_angle_beta 90.00
_cell_angle_gamma 90.00
loop_
_atom_site_label
_atom_site_type_symbol
_atom_site_fract_x
_atom_site_fract_y
_atom_site_fract_z
_atom_site_occupancy
Gd1 Gd 0.000 0.160 0.000 1
Bi1 Bi 0.500 0.423 0.510 1
As1 As 0.000 0.187 0.501 1
O1 O 0.500 0.257 0.001 1



(10)
# GdBiAsO | OQMD | GGA-PBE | optimized geometry
# Calculated total energy: -5.329 eV per atom
data_GdBiAsO
_chemical_formula_sum 'Gd2 Bi2 As2 O2'
_space_group_name_H-M_alt 'P 4/n m m'
_space_group_IT_number 129
_cell_length_a 4.901
_cell_length_b 4.901
_cell_length_c 7.432
_cell_angle_alpha 90.00
_cell_angle_beta 90.00
_cell_angle_gamma 90.00
loop_
_space_group_symop_operation_xyz
'x,y,z'
'-x,-y,-z'
'-y+1/2,x,z'
'y+1/2,-x,-z'
'-x+1/2,-y+1/2,z'
'x+1/2,y+1/2,-z'
'y,-x+1/2,z'
'-y,x+1/2,-z'
'x+1/2,-y,-z'
'-x+1/2,y,z'
'-y,-x,-z'
'y,x,z'
'-x,y+1/2,-z'
'x,-y+1/2,z'
'y+1/2,x+1/2,-z'
'-y+1/2,-x+1/2,z'
loop_
_atom_site_label
_atom_site_type_symbol
_atom_site_fract_x
_atom_site_fract_y
_atom_site_fract_z
_atom_site_occupancy
Gd1 Gd 0.250 0.750 0.000 1
Bi1 Bi 0.250 0.250 0.427 1
As1 As 0.250 0.250 0.811 1
O1 O 0.250 0.750 0.500 1



(11)
# GdBiAsO | OQMD | GGA-PBE | optimized geometry
# Calculated total energy: -5.936 eV per atom
data_GdBiAsO
_chemical_formula_sum 'Gd2 Bi2 As2 O2'
_space_group_name_H-M_alt 'P 4/n m m'
_space_group_IT_number 129
_cell_length_a 4.258
_cell_length_b 4.258
_cell_length_c 9.981
_cell_angle_alpha 90.00
_cell_angle_beta 90.00
_cell_angle_gamma 90.00
loop_
_space_group_symop_operation_xyz
'x,y,z'
'-x,-y,-z'
'-y+1/2,x,z'
'y+1/2,-x,-z'
'-x+1/2,-y+1/2,z'
'x+1/2,y+1/2,-z'
'y,-x+1/2,z'
'-y,x+1/2,-z'
'x+1/2,-y,-z'
'-x+1/2,y,z'
'-y,-x,-z'
'y,x,z'
'-x,y+1/2,-z'
'x,-y+1/2,z'
'y+1/2,x+1/2,-z'
'-y+1/2,-x+1/2,z'
loop_
_atom_site_label
_atom_site_type_symbol
_atom_site_fract_x
_atom_site_fract_y
_atom_site_fract_z
_atom_site_occupancy
Gd1 Gd 0.250 0.250 0.094 1
Bi1 Bi 0.250 0.750 0.500 1
As1 As 0.250 0.250 0.737 1
O1 O 0.250 0.750 0.000 1



(12)
# GdBiAsO | OQMD | GGA-PBE | optimized geometry
# Calculated total energy: -5.935 eV per atom
data_GdBiAsO
_chemical_formula_sum 'Gd2 Bi2 As2 O2'
_space_group_name_H-M_alt 'P 4/n m m'
_space_group_IT_number 129
_cell_length_a 4.248
_cell_length_b 4.248
_cell_length_c 10.010
_cell_angle_alpha 90.00
_cell_angle_beta 90.00
_cell_angle_gamma 90.00
loop_
_space_group_symop_operation_xyz
'x,y,z'
'-x,-y,-z'
'-y+1/2,x,z'
'y+1/2,-x,-z'
'-x+1/2,-y+1/2,z'
'x+1/2,y+1/2,-z'
'y,-x+1/2,z'
'-y,x+1/2,-z'
'x+1/2,-y,-z'
'-x+1/2,y,z'
'-y,-x,-z'
'y,x,z'
'-x,y+1/2,-z'
'x,-y+1/2,z'
'y+1/2,x+1/2,-z'
'-y+1/2,-x+1/2,z'
loop_
_atom_site_label
_atom_site_type_symbol
_atom_site_fract_x
_atom_site_fract_y
_atom_site_fract_z
_atom_site_occupancy
Gd1 Gd 0.250 0.250 0.095 1
Bi1 Bi 0.250 0.750 0.500 1
As1 As 0.250 0.250 0.737 1
O1 O 0.250 0.750 0.000 1



(13)
# HfBi2As | OQMD | GGA-PBE | optimized geometry
# Calculated total energy: -5.406 eV per atom
data_HfBi2As
_chemical_formula_sum 'Hf4 Bi8 As4'
_space_group_name_H-M_alt 'F -4 3 m'
_space_group_IT_number 216
_space_group_name_Hall 'F -4 2 3'
_cell_length_a 7.357
_cell_length_b 7.357
_cell_length_c 7.357
_cell_angle_alpha 90.00
_cell_angle_beta 90.00
_cell_angle_gamma 90.00
loop_
_atom_site_label
_atom_site_type_symbol
_atom_site_fract_x
_atom_site_fract_y
_atom_site_fract_z
_atom_site_occupancy
Hf1 Hf 0.000 0.000 0.000 1
Bi1 Bi 0.000 0.000 0.500 1
Bi2 Bi 0.250 0.250 0.250 1
As1 As 0.250 0.250 0.750 1



(14)
# Hf2BiAsIr2 | OQMD | GGA-PBE | optimized geometry
# Calculated total energy: -8.439 eV per atom
data_Hf2BiAsIr2
_chemical_formula_sum 'Hf8 Bi4 As4 Ir8'
_space_group_name_H-M_alt 'P 1 m 1'
_space_group_IT_number 6
_space_group_name_Hall 'P -2y'
_cell_length_a 10.906
_cell_length_b 4.448
_cell_length_c 10.936
_cell_angle_alpha 90.00
_cell_angle_beta 109.53
_cell_angle_gamma 90.00
loop_
_atom_site_label
_atom_site_type_symbol
_atom_site_fract_x
_atom_site_fract_y
_atom_site_fract_z
_atom_site_occupancy
Hf1 Hf 0.000 0.000 0.000 1
Hf2 Hf 0.116 0.500 0.374 1
Hf3 Hf 0.239 0.000 0.742 1
Hf4 Hf 0.375 0.500 0.136 1
Hf5 Hf 0.499 0.000 0.499 1
Hf6 Hf 0.625 0.500 0.866 1
Hf7 Hf 0.746 0.000 0.258 1
Hf8 Hf 0.867 0.500 0.620 1
Bi1 Bi 0.120 0.500 0.875 1
Bi2 Bi 0.370 0.500 0.620 1
Bi3 Bi 0.498 0.000 0.001 1
Bi4 Bi 0.870 0.500 0.125 1
As1 As 0.247 0.000 0.253 1
As2 As 0.622 0.500 0.377 1
As3 As 0.748 0.000 0.746 1
As4 As 0.993 0.000 0.499 1
Ir1 Ir 0.130 0.500 0.134 1
Ir2 Ir 0.235 0.000 0.490 1
Ir3 Ir 0.370 0.500 0.872 1
Ir4 Ir 0.499 0.000 0.260 1
Ir5 Ir 0.626 0.500 0.620 1
Ir6 Ir 0.749 0.000 0.987 1
Ir7 Ir 0.867 0.500 0.380 1
Ir8 Ir 0.987 0.000 0.740 1



(15)
# Hf3Ni4Bi2As2 | OQMD | GGA-PBE | optimized geometry
# Calculated total energy: -6.806 eV per atom
data_Hf3Ni4Bi2As2
_chemical_formula_sum 'Hf6 Ni8 Bi4 As4'
_space_group_name_H-M_alt 'I -4 2 m'
_space_group_IT_number 121
_space_group_name_Hall 'I -4 2'
_cell_length_a 5.944
_cell_length_b 5.944
_cell_length_c 12.190
_cell_angle_alpha 90.00
_cell_angle_beta 90.00
_cell_angle_gamma 90.00
loop_
_atom_site_label
_atom_site_type_symbol
_atom_site_fract_x
_atom_site_fract_y
_atom_site_fract_z
_atom_site_occupancy
Hf1 Hf 0.000 0.000 0.000 1
Hf2 Hf 0.000 0.500 0.250 1
Ni1 Ni 0.241 0.241 0.863 1
Bi1 Bi 0.000 0.500 0.000 1
As1 As 0.000 0.000 0.254 1



(16)
# HfBiAsO | OQMD | GGA-PBE | optimized geometry
# Calculated total energy: -7.049 eV per atom
data_HfBiAsO
_chemical_formula_sum 'Hf2 Bi2 As2 O2'
_space_group_name_H-M_alt 'P m c 21'
_space_group_IT_number 26
_space_group_name_Hall 'P 2c -2'
_cell_length_a 3.767
_cell_length_b 8.470
_cell_length_c 5.630
_cell_angle_alpha 90.00
_cell_angle_beta 90.00
_cell_angle_gamma 90.00
loop_
_atom_site_label
_atom_site_type_symbol
_atom_site_fract_x
_atom_site_fract_y
_atom_site_fract_z
_atom_site_occupancy
Hf1 Hf 0.000 0.143 0.000 1
Bi1 Bi 0.500 0.420 0.468 1
As1 As 0.000 0.169 0.508 1
O1 O 0.500 0.216 0.007 1



(17)
# HfBiAsO | OQMD | GGA-PBE | optimized geometry
# Calculated total energy: -7.079 eV per atom
data_HfBiAsO
_chemical_formula_sum 'Hf2 Bi2 As2 O2'
_space_group_name_H-M_alt 'P m c 21'
_space_group_IT_number 26
_space_group_name_Hall 'P 2c -2'
_cell_length_a 3.741
_cell_length_b 8.197
_cell_length_c 6.372
_cell_angle_alpha 90.00
_cell_angle_beta 90.00
_cell_angle_gamma 90.00
loop_
_atom_site_label
_atom_site_type_symbol
_atom_site_fract_x
_atom_site_fract_y
_atom_site_fract_z
_atom_site_occupancy
Hf1 Hf 0.000 0.128 0.000 1
Bi1 Bi 0.500 0.300 0.585 1
As1 As 0.500 0.357 0.011 1
O1 O 0.000 0.042 0.282 1



(18)
# HfBiAsO | OQMD | GGA-PBE | optimized geometry
# Calculated total energy: -6.551 eV per atom
data_HfBiAsO
_chemical_formula_sum 'Hf2 Bi2 As2 O2'
_space_group_name_H-M_alt 'P 4/n m m'
_space_group_IT_number 129
_cell_length_a 4.376
_cell_length_b 4.376
_cell_length_c 8.484
_cell_angle_alpha 90.00
_cell_angle_beta 90.00
_cell_angle_gamma 90.00
loop_
_space_group_symop_operation_xyz
'x,y,z'
'-x,-y,-z'
'-y+1/2,x,z'
'y+1/2,-x,-z'
'-x+1/2,-y+1/2,z'
'x+1/2,y+1/2,-z'
'y,-x+1/2,z'
'-y,x+1/2,-z'
'x+1/2,-y,-z'
'-x+1/2,y,z'
'-y,-x,-z'
'y,x,z'
'-x,y+1/2,-z'
'x,-y+1/2,z'
'y+1/2,x+1/2,-z'
'-y+1/2,-x+1/2,z'
loop_
_atom_site_label
_atom_site_type_symbol
_atom_site_fract_x
_atom_site_fract_y
_atom_site_fract_z
_atom_site_occupancy
Hf1 Hf 0.250 0.750 0.000 1
Bi1 Bi 0.250 0.250 0.381 1
As1 As 0.250 0.250 0.817 1
O1 O 0.250 0.750 0.500 1



(19)
# HfBiAsO | OQMD | GGA-PBE | optimized geometry
# Calculated total energy: -6.828 eV per atom
data_HfBiAsO
_chemical_formula_sum 'Hf2 Bi2 As2 O2'
_space_group_name_H-M_alt 'P 4/n m m'
_space_group_IT_number 129
_cell_length_a 4.141
_cell_length_b 4.141
_cell_length_c 9.411
_cell_angle_alpha 90.00
_cell_angle_beta 90.00
_cell_angle_gamma 90.00
loop_
_space_group_symop_operation_xyz
'x,y,z'
'-x,-y,-z'
'-y+1/2,x,z'
'y+1/2,-x,-z'
'-x+1/2,-y+1/2,z'
'x+1/2,y+1/2,-z'
'y,-x+1/2,z'
'-y,x+1/2,-z'
'x+1/2,-y,-z'
'-x+1/2,y,z'
'-y,-x,-z'
'y,x,z'
'-x,y+1/2,-z'
'x,-y+1/2,z'
'y+1/2,x+1/2,-z'
'-y+1/2,-x+1/2,z'
loop_
_atom_site_label
_atom_site_type_symbol
_atom_site_fract_x
_atom_site_fract_y
_atom_site_fract_z
_atom_site_occupancy
Hf1 Hf 0.250 0.250 0.079 1
Bi1 Bi 0.250 0.750 0.500 1
As1 As 0.250 0.250 0.766 1
O1 O 0.250 0.750 0.000 1



(20)
# Hf4BiAsP2 | OQMD | GGA-PBE | optimized geometry
# Calculated total energy: -8.425 eV per atom
data_Hf4BiAsP2
_chemical_formula_sum 'Hf4 Bi1 As1 P2'
_space_group_name_H-M_alt 'P -6 m 2'
_space_group_IT_number 187
_space_group_name_Hall 'P -6 2'
_cell_length_a 3.7678
_cell_length_b 3.7678
_cell_length_c 13.0754
_cell_angle_alpha 90.00
_cell_angle_beta 90.00
_cell_angle_gamma 120.00
loop_
_atom_site_label
_atom_site_type_symbol
_atom_site_fract_x
_atom_site_fract_y
_atom_site_fract_z
_atom_site_occupancy
Hf1 Hf 0.0000 0.0000 0.1322 1
Hf2 Hf 0.3333 0.6667 0.3405 1
Bi1 Bi 0.0000 0.0000 0.5000 1
As1 As 0.3333 0.6667 0.0000 1
P1 P 0.6667 0.3333 0.2382 1